This record from Alexandria describes an optimized crystal structure of LiTi2Cu. The functional is PBE.

Cell lengths 4.402, 4.402, 4.402 Å; angles 60.00, 60.00, 60.00 degrees
Fractional positions:
Cu (0.500, 0.500, 0.500)
Li (0.000, 0.000, 0.000)
Ti (0.750, 0.750, 0.750)
Ti (0.250, 0.250, 0.250)

Summary:
DFT formation energy = 71 kJ/mol of formula units
Space group = Fm-3m (225)
Uncorrected energy = -21.06 eV/f.u.

---

This record from Alexandria describes an optimized crystal structure of HgMoSe2. The functional is PBE.

Cell lengths 12.020, 12.020, 12.020 Å; angles 13.99, 13.99, 13.99 degrees
Fractional positions:
Se (0.071, 0.071, 0.071)
Mo (0.000, 0.000, 0.000)
Se (0.929, 0.929, 0.929)
Hg (0.500, 0.500, 0.500)

Summary:
Formation energy (no corrections) = 40 kJ per mole of atoms
Space group = R-3m (166)
Uncorrected energy = -16.44 eV/f.u.

---

This record from Alexandria describes an optimized crystal structure of B5C7. The functional is PBE.

Cell lengths 4.442, 4.442, 7.945 Å; angles 116.03, 116.03, 34.73 degrees
Fractional positions:
C (0.998, 0.998, 0.516)
B (0.008, 0.008, 0.978)
B (0.284, 0.284, 0.099)
B (0.141, 0.141, 0.230)
C (0.834, 0.834, 0.546)
C (0.337, 0.337, 0.664)
C (0.175, 0.175, 0.698)
C (0.500, 0.500, 0.854)
B (0.525, 0.525, 0.423)
C (0.667, 0.667, 0.351)
B (0.677, 0.677, 0.832)
C (0.856, 0.856, 0.060)

Summary:
DFT formation energy = 363 kJ/mol of formula units
Space group = Cm (8)
Uncorrected energy = -94.19 eV/f.u.

---

This record from Alexandria describes an optimized crystal structure of ZnCd2SiS. The functional is PBE.

Cell lengths 5.088, 4.552, 5.088 Å; angles 90.00, 90.00, 90.00 degrees
Fractional positions:
Cd (0.000, 0.000, 0.500)
Si (0.000, 0.000, 0.000)
S (0.500, 0.500, 0.500)
Cd (0.500, 0.000, 0.000)
Zn (0.000, 0.500, 0.000)

Summary:
Formation energy (no corrections) = 29 kJ per mole of atoms
Space group = P4/mmm (123)
Uncorrected energy = -11.15 eV/f.u.

---

This record from Alexandria describes an optimized crystal structure of La4NdGa4. The functional is PBE.

Cell lengths 4.947, 10.526, 10.526 Å; angles 90.00, 90.00, 90.00 degrees
Fractional positions:
Nd (0.000, 0.000, 0.000)
La (0.000, 0.352, 0.136)
Ga (0.000, 0.431, 0.666)
La (0.000, 0.648, 0.864)
Ga (0.000, 0.569, 0.334)
La (0.000, 0.136, 0.648)
La (0.500, 0.148, 0.364)
Ga (0.500, 0.166, 0.069)
Ga (0.500, 0.834, 0.931)
La (0.500, 0.364, 0.852)
Ga (0.000, 0.666, 0.569)
La (0.500, 0.636, 0.148)
Ga (0.500, 0.931, 0.166)
Nd (0.500, 0.500, 0.500)
La (0.500, 0.852, 0.636)
La (0.000, 0.864, 0.352)
Ga (0.000, 0.334, 0.431)
Ga (0.500, 0.069, 0.834)

Summary:
DFT formation energy = -352 kJ/mol of formula units
Space group = I4/m (87)
Uncorrected energy = -40.24 eV/f.u.

---

This record from Alexandria describes an optimized crystal structure of Pr2PaGe3Ir4. The functional is PBE.

Cell lengths 4.288, 4.288, 11.047 Å; angles 90.00, 90.00, 90.00 degrees
Fractional positions:
Ge (0.000, 0.000, 0.500)
Ir (0.500, 0.000, 0.650)
Pr (0.500, 0.000, 0.225)
Pa (0.500, 0.500, 0.500)
Ir (0.500, 0.500, 0.000)
Ir (0.000, 0.500, 0.350)
Ge (0.500, 0.000, 0.877)
Ge (0.000, 0.500, 0.123)
Pr (0.000, 0.500, 0.775)
Ir (0.000, 0.000, 0.000)

Summary:
DFT formation energy = -741 kJ/mol of formula units
Space group = P-4m2 (115)
Uncorrected energy = -76.03 eV/f.u.

---

This record from Alexandria describes an optimized crystal structure of NaMg4Cu2. The functional is PBE.

Cell lengths 5.121, 5.121, 7.578 Å; angles 70.25, 70.25, 90.00 degrees
Fractional positions:
Mg (0.778, 0.778, 0.445)
Mg (0.500, 0.000, 0.000)
Mg (0.222, 0.222, 0.555)
Cu (0.587, 0.587, 0.825)
Na (0.000, 0.000, 0.000)
Cu (0.413, 0.413, 0.175)
Mg (0.000, 0.500, 0.000)

Summary:
DFT formation energy = 362 kJ/mol of formula units
Space group = I4/mmm (139)
Uncorrected energy = -12.14 eV/f.u.

---

This record from Alexandria describes an optimized crystal structure of KPdSe4. The functional is PBE.

Cell lengths 9.501, 8.810, 7.342 Å; angles 116.35, 120.15, 103.96 degrees
Fractional positions:
Pd (0.693, 0.943, 0.885)
K (0.101, 0.351, 0.701)
Pd (0.307, 0.057, 0.115)
Se (0.486, 0.066, 0.743)
Se (0.908, 0.218, 0.946)
Se (0.092, 0.782, 0.054)
Se (0.462, 0.273, 0.054)
Se (0.538, 0.727, 0.946)
Se (0.243, 0.324, 0.257)
K (0.899, 0.649, 0.299)
Se (0.757, 0.676, 0.743)
Se (0.514, 0.934, 0.257)

Summary:
Formation energy (no corrections) = -37 kJ per mole of atoms
Space group = C2/c (15)
Uncorrected energy = -22.55 eV/f.u.